# 1
# Dy6GeTe2Se3, relaxed, DFT PBE-GGA
# ΔE_f (raw): -1.508 eV/atom
# Density: 8.17 g/cm³
data_Dy6GeTe2Se3
_chemical_formula_sum 'Dy12 Ge2 Te4 Se6'
_cell_length_a 7.303
_cell_length_b 12.630
_cell_length_c 7.206
_cell_angle_alpha 90.00
_cell_angle_beta 109.68
_cell_angle_gamma 90.00
_space_group_name_H-M_alt 'C 1 2/m 1'
_space_group_IT_number 12
loop_
_space_group_symop_operation_xyz
'x,y,z'
'-x,-y,-z'
'-x,y,-z'
'x,-y,z'
'x+1/2,y+1/2,z'
'-x+1/2,-y+1/2,-z'
'-x+1/2,y+1/2,-z'
'x+1/2,-y+1/2,z'
loop_
_atom_site_label
_atom_site_fract_x
_atom_site_fract_y
_atom_site_fract_z
Dy1 0.217 0.000 0.235
Dy2 0.239 0.153 0.760
Ge1 0.000 0.000 0.500
Te1 0.000 0.335 0.500
Se1 0.000 0.176 0.000
Se2 0.000 0.500 0.000



# 2
# CaAcAs2Rh5, relaxed, DFT PBE-GGA
# Energy relative to the elements: -629 meV/atom
# Density: 9.22 g/cm³
data_CaAcAs2Rh5
_chemical_formula_sum 'Ca1 Ac1 As2 Rh5'
_cell_length_a 4.355
_cell_length_b 4.355
_cell_length_c 8.843
_cell_angle_alpha 90.00
_cell_angle_beta 90.00
_cell_angle_gamma 90.00
_space_group_name_H-M_alt 'P 4/m m m'
_space_group_IT_number 123
_space_group_name_Hall '-P 4 2'
loop_
_atom_site_label
_atom_site_fract_x
_atom_site_fract_y
_atom_site_fract_z
Ca1 0.000 0.000 0.000
Ac1 0.000 0.000 0.500
As1 0.500 0.500 0.333
Rh1 0.000 0.500 0.220
Rh2 0.500 0.500 0.000



# 3
# CaGe3Pd3, relaxed, DFT PBE-GGA
# Energy relative to the elements: -419 meV/atom
# Density: 7.18 g/cm³
# Energy above the lowest structure with this stoichiometry: 24 meV/atom
data_CaGe3Pd3
_chemical_formula_sum 'Ca6 Ge18 Pd18'
_cell_length_a 7.5200
_cell_length_b 7.5200
_cell_length_c 16.3598
_cell_angle_alpha 90.00
_cell_angle_beta 90.00
_cell_angle_gamma 120.00
_space_group_name_H-M_alt 'R -3'
_space_group_IT_number 148
_space_group_name_Hall '-R 3'
loop_
_atom_site_label
_atom_site_fract_x
_atom_site_fract_y
_atom_site_fract_z
Ca1 0.0000 0.0000 0.1654
Ge1 0.0040 0.3557 0.3802
Pd1 0.0052 0.2556 0.5630



# 4
# Be3Hg, relaxed, DFT PBE-GGA
# Energy relative to the elements: 587 meV/atom
# Density: 7.36 g/cm³
# Energy above the lowest structure with this stoichiometry: 322 meV/atom
data_Be3Hg
_chemical_formula_sum 'Be3 Hg1'
_cell_length_a 2.7831
_cell_length_b 2.7831
_cell_length_c 7.6531
_cell_angle_alpha 90.00
_cell_angle_beta 90.00
_cell_angle_gamma 120.00
_space_group_name_H-M_alt 'P -6 m 2'
_space_group_IT_number 187
_space_group_name_Hall 'P -6 2'
loop_
_atom_site_label
_atom_site_fract_x
_atom_site_fract_y
_atom_site_fract_z
Be1 0.0000 0.0000 0.0000
Be2 0.3333 0.6667 0.2056
Hg1 0.0000 0.0000 0.5000



# 5
# ErTh2OsC2, relaxed, DFT PBE-GGA
# Energy relative to the elements: -185 meV/atom
# Density: 11.57 g/cm³
data_ErTh2OsC2
_chemical_formula_sum 'Er2 Th4 Os2 C4'
_cell_length_a 5.774
_cell_length_b 11.156
_cell_length_c 3.768
_cell_angle_alpha 90.00
_cell_angle_beta 90.00
_cell_angle_gamma 90.00
_space_group_name_H-M_alt 'P n n m'
_space_group_IT_number 58
loop_
_space_group_symop_operation_xyz
'x,y,z'
'-x,-y,-z'
'-x,-y,z'
'x,y,-z'
'x+1/2,-y+1/2,-z+1/2'
'-x+1/2,y+1/2,z+1/2'
'-x+1/2,y+1/2,-z+1/2'
'x+1/2,-y+1/2,z+1/2'
loop_
_atom_site_label
_atom_site_fract_x
_atom_site_fract_y
_atom_site_fract_z
Er1 0.000 0.000 0.000
Th1 0.045 0.292 0.500
Os1 0.000 0.500 0.000
C1 0.219 0.889 0.500



# 6
# BaSrCd2P, relaxed, DFT PBE-GGA
# Energy relative to the elements: 1054 meV/atom
# Density: 2.96 g/cm³
data_BaSrCd2P
_chemical_formula_sum 'Ba1 Sr1 Cd2 P1'
_cell_length_a 6.046
_cell_length_b 6.046
_cell_length_c 7.380
_cell_angle_alpha 90.00
_cell_angle_beta 90.00
_cell_angle_gamma 90.00
_space_group_name_H-M_alt 'P 4/m m m'
_space_group_IT_number 123
_space_group_name_Hall '-P 4 2'
loop_
_atom_site_label
_atom_site_fract_x
_atom_site_fract_y
_atom_site_fract_z
Ba1 0.000 0.000 0.000
Sr1 0.000 0.000 0.500
Cd1 0.000 0.500 0.000
P1 0.500 0.500 0.500



# 7
# CsBi2Cl, relaxed, DFT PBE-GGA
# ΔE_f (raw): 0.213 eV/atom
# Density: 6.77 g/cm³
# Energy above the lowest structure with this stoichiometry: 844 meV/atom
data_CsBi2Cl
_chemical_formula_sum 'Cs4 Bi8 Cl4'
_cell_length_a 8.317
_cell_length_b 8.317
_cell_length_c 8.317
_cell_angle_alpha 90.00
_cell_angle_beta 90.00
_cell_angle_gamma 90.00
_space_group_name_H-M_alt 'F m -3 m'
_space_group_IT_number 225
_space_group_name_Hall '-F 4 2 3'
loop_
_atom_site_label
_atom_site_fract_x
_atom_site_fract_y
_atom_site_fract_z
Cs1 0.000 0.000 0.000
Bi1 0.250 0.250 0.250
Cl1 0.000 0.000 0.500



# 8
# CsCa2GeSb, relaxed, DFT PBE-GGA
# ΔE_f (raw): -0.071 eV/atom
# Density: 3.37 g/cm³
data_CsCa2GeSb
_chemical_formula_sum 'Cs1 Ca2 Ge1 Sb1'
_cell_length_a 5.779
_cell_length_b 5.779
_cell_length_c 6.006
_cell_angle_alpha 90.00
_cell_angle_beta 90.00
_cell_angle_gamma 90.00
_space_group_name_H-M_alt 'P 4/m m m'
_space_group_IT_number 123
_space_group_name_Hall '-P 4 2'
loop_
_atom_site_label
_atom_site_fract_x
_atom_site_fract_y
_atom_site_fract_z
Cs1 0.000 0.000 0.000
Ca1 0.000 0.500 0.500
Ge1 0.000 0.000 0.500
Sb1 0.500 0.500 0.000



# 9
# Er2Ga2Co2C, relaxed, DFT PBE-GGA
# Energy relative to the elements: -519 meV/atom
# Density: 8.87 g/cm³
data_Er2Ga2Co2C
_chemical_formula_sum 'Er4 Ga4 Co4 C2'
_cell_length_a 10.721
_cell_length_b 3.924
_cell_length_c 6.852
_cell_angle_alpha 90.00
_cell_angle_beta 128.33
_cell_angle_gamma 90.00
_space_group_name_H-M_alt 'C 1 2/m 1'
_space_group_IT_number 12
loop_
_space_group_symop_operation_xyz
'x,y,z'
'-x,-y,-z'
'-x,y,-z'
'x,-y,z'
'x+1/2,y+1/2,z'
'-x+1/2,-y+1/2,-z'
'-x+1/2,y+1/2,-z'
'x+1/2,-y+1/2,z'
loop_
_atom_site_label
_atom_site_fract_x
_atom_site_fract_y
_atom_site_fract_z
Er1 0.054 0.000 0.283
Ga1 0.159 0.500 0.703
Co1 0.194 0.500 0.088
C1 0.000 0.500 0.000



# 10
# SrGa2As2, relaxed, DFT PBE-GGA
# Energy relative to the elements: -654 meV/atom
# Density: 4.98 g/cm³
data_SrGa2As2
_chemical_formula_sum 'Sr4 Ga8 As8'
_cell_length_a 9.705
_cell_length_b 4.105
_cell_length_c 12.689
_cell_angle_alpha 90.00
_cell_angle_beta 95.87
_cell_angle_gamma 90.00
_space_group_name_H-M_alt 'P 1 2/m 1'
_space_group_IT_number 10
loop_
_space_group_symop_operation_xyz
'x,y,z'
'-x,-y,-z'
'-x,y,-z'
'x,-y,z'
loop_
_atom_site_label
_atom_site_fract_x
_atom_site_fract_y
_atom_site_fract_z
Sr1 0.000 0.000 0.000
Sr2 0.201 0.500 0.276
Sr3 0.500 0.000 0.500
Ga1 0.108 0.000 0.563
Ga2 0.195 0.500 0.824
Ga3 0.393 0.500 0.719
Ga4 0.400 0.000 0.054
As1 0.051 0.000 0.758
As2 0.243 0.500 0.024
As3 0.260 0.500 0.533
As4 0.449 0.000 0.254



# 11
# Nd9C2Br14, relaxed, DFT PBE-GGA
# ΔE_f (raw): -1.384 eV/atom
# Density: 5.32 g/cm³
data_Nd9C2Br14
_chemical_formula_sum 'Nd9 C2 Br14'
_cell_length_a 8.6911
_cell_length_b 8.6911
_cell_length_c 11.6376
_cell_angle_alpha 90.00
_cell_angle_beta 90.00
_cell_angle_gamma 120.00
_space_group_name_H-M_alt 'P -3'
_space_group_IT_number 147
loop_
_space_group_symop_operation_xyz
'x,y,z'
'-x,-y,-z'
'-y,x-y,z'
'y,-x+y,-z'
'-x+y,-x,z'
'x-y,x,-z'
loop_
_atom_site_label
_atom_site_fract_x
_atom_site_fract_y
_atom_site_fract_z
Nd1 0.0000 0.0000 0.0000
Nd2 0.1047 0.3888 0.3311
Nd3 0.3333 0.6667 0.0684
C1 0.3333 0.6667 0.2806
Br1 0.0000 0.0000 0.2669
Br2 0.0488 0.6780 0.9065
Br3 0.0873 0.4036 0.5991



# 12
# Ce2Mg3Zn4, relaxed, DFT PBE-GGA
# Energy relative to the elements: -188 meV/atom
# Density: 5.30 g/cm³
# Energy above the lowest structure with this stoichiometry: 0 meV/atom
data_Ce2Mg3Zn4
_chemical_formula_sum 'Ce2 Mg3 Zn4'
_cell_length_a 4.8653
_cell_length_b 4.8653
_cell_length_c 9.3957
_cell_angle_alpha 90.00
_cell_angle_beta 90.00
_cell_angle_gamma 120.00
_space_group_name_H-M_alt 'P -3 m 1'
_space_group_IT_number 164
_space_group_name_Hall '-P 3 2"'
loop_
_atom_site_label
_atom_site_fract_x
_atom_site_fract_y
_atom_site_fract_z
Ce1 0.3333 0.6667 0.2915
Mg1 0.0000 0.0000 0.5000
Mg2 0.3333 0.6667 0.9213
Zn1 0.0000 0.0000 0.1416
Zn2 0.3333 0.6667 0.6040